VASP calculation (GGA+U) on a relaxed structure of K2ErCrO4.

a = 3.3026 Å, b = 5.6487 Å, c = 6.4537 Å
α = 107.28°, β = 90.00°, γ = 90.00°
With the nearest neighbours (Å) after each atom.
Element x y z (fractional)
Er  0.0000  0.0000  0.0000  6 O 2.25-2.26
Cr  0.5000  0.5000  0.0000  6 O 2.11-2.15
O  0.0000  0.2918  0.8239  2 Cr 2.15, 1 Er 2.26
O  0.0000  0.7082  0.1761  2 Cr 2.15, 1 Er 2.26
O  0.5000  0.2453  0.1820  1 Cr 2.11, 2 Er 2.25
O  0.5000  0.7547  0.8180  1 Cr 2.11, 2 Er 2.25
K  0.5000  0.0000  0.5000  6 O 2.79-2.80
K  0.0000  0.5000  0.5000  6 O 2.69

Output
- DFT total energy (eV for the cell shown) = -52.0
- Fermi-level density of states (states/eV/atom) = 0.000

---

VASP calculation (GGA+U) on a relaxed structure of CoPPdO2.

a = 3.8249 Å, b = 3.8249 Å, c = 5.1523 Å
α = 90.00°, β = 90.00°, γ = 90.00°
With the nearest neighbours (Å) after each atom.
Element x y z (fractional)
O  0.5000  0.0000  0.0000  2 Pd 1.91
O  0.0000  0.5000  0.0000  2 Pd 1.91
P  0.0000  0.0000  0.5000  2 Pd 2.58, 4 Co 2.70
Co  0.5000  0.5000  0.5000  4 P 2.70
Pd  0.0000  0.0000  0.0000  4 O 1.91

Output
- DFT total energy (eV for the cell shown) = -23.3
- ΔE to the lowest computed polymorph (eV per atom) = 0.473
- Fermi-level density of states (states/eV/atom) = 0.958